This record from the Alexandria database describes a relaxed Cs3Sn2Se4 crystal. The functional is GGA-PBE.

```
Cs3Sn2Se4
1.0
9.0755 0.3771 0.2700
0.9012 9.3258 -0.7967
0.9012 2.2507 9.0852
Cs Sn Se
6 4 8
Direct
0.8813 0.0089 0.2664
0.2500 0.6216 0.3784
0.7500 0.3784 0.6216
0.3813 0.2664 0.0089
0.1187 0.9911 0.7336
0.6187 0.7336 0.9911
0.0871 0.5719 0.8149
0.4129 0.1851 0.4281
0.5871 0.8149 0.5719
0.9129 0.4281 0.1851
0.8935 0.7211 0.6330
0.6065 0.3670 0.2789
0.0207 0.6960 0.0598
0.1065 0.2789 0.3670
0.4793 0.9402 0.3040
0.3935 0.6330 0.7211
0.5207 0.0598 0.6960
0.9793 0.3040 0.9402
```

Properties
The formation energy from raw total energies comes out at -858 meV/atom. Its energy is -3.58 eV/atom. The value obtained for the magnetic moment is 0.00 μB/cell.

=====

This record from the Alexandria database describes a relaxed CsSnSe3 crystal. The functional is GGA-PBE.

```
CsSnSe3
1.0
-5.0271 -0.2618 -2.7730
-1.1341 -5.0335 2.5313
-2.5440 2.7614 4.3512
Cs Se Sn
1 3 1
Direct
0.0000 0.0000 0.0000
0.0000 0.0000 0.5000
0.0000 0.5000 0.0000
0.5000 0.0000 0.0000
0.5000 0.5000 0.5000
```

Properties
The formation energy from raw total energies comes out at 877 meV/atom. Its energy is -2.19 eV/atom. The value obtained for the magnetic moment is 0.00 μB/cell. As for the energy above the most stable polymorph in this dataset: 1576 meV per atom.

=====

This record from the Alexandria database describes a relaxed Cs2SnSe2 crystal. The functional is GGA-PBE.

```
Cs2SnSe2
1.0
4.1692 0.0000 0.0000
-2.0846 6.7952 0.0000
0.0000 0.0000 14.2185
Se Cs Sn
4 4 2
Direct
0.1899 0.3798 0.1244
0.0419 0.0837 0.9097
0.9581 0.9163 0.4097
0.8101 0.6202 0.6244
0.0841 0.1682 0.6400
0.6557 0.3114 0.3292
0.9159 0.8318 0.1400
0.3443 0.6886 0.8292
0.6662 0.3325 0.9821
0.3338 0.6675 0.4821
```

Properties
The formation energy from raw total energies comes out at -835 meV/atom. Its energy is -3.37 eV/atom. The value obtained for the magnetic moment is 0.00 μB/cell. As for the energy above the most stable polymorph in this dataset: 56 meV per atom.